Record 1
4
Lattice="0.000 3.272 3.272 3.272 0.000 3.272 3.272 3.272 0.000" Properties=species:S:1:pos:R:3 comment="KScRu2 (PBEsol, relaxed)" e_form_mev_per_atom=1042 magnetic_moment_mub_per_fu=0.00 mass_density_g_cm3=6.8 spacegroup=Fm-3m pbc="T T T"
K 0.000 0.000 0.000
Sc 3.272 3.272 3.272
Ru 1.636 1.636 1.636
Ru 4.908 4.908 4.908

=====

Record 2
5
Lattice="4.760 0.000 0.000 0.000 4.760 0.000 0.000 0.000 5.365" Properties=species:S:1:pos:R:3 comment="KSrScRu2 (PBEsol, relaxed)" e_form_mev_per_atom=993 magnetic_moment_mub_per_fu=0.00 mass_density_g_cm3=5.1 spacegroup=P4/mmm pbc="T T T"
K 0.000 0.000 0.000
Sr 2.380 2.380 0.000
Sc 0.000 0.000 2.683
Ru 0.000 2.380 2.683
Ru 2.380 0.000 2.683

=====

Record 3
4
Lattice="0.000 3.533 3.533 3.533 0.000 3.533 3.533 3.533 0.000" Properties=species:S:1:pos:R:3 comment="K2RuSe (PBEsol, relaxed)" e_form_raw_ev_per_fu=2.2 magnetic_moment_mub_per_fu=2.03 mass_density_g_cm3=4.9 spacegroup=F-43m pbc="T T T"
K 0.000 0.000 0.000
K 1.767 1.767 1.767
Ru 5.300 5.300 5.300
Se 3.533 3.533 3.533

=====

What did we get for DFT total energy? Answer: -0.220 -0.183 -0.130 hartree per atom, in the order shown.